(1)
First-principles (PBE-GGA) data for crystalline KC at its relaxed geometry, as listed in Alexandria.

a b c (Å): 6.022 6.022 6.022
angles (deg): 90.00 90.00 90.00
Positions (direct):
K (0.000, 0.000, 0.500)
K (0.000, 0.500, 0.000)
K (0.500, 0.000, 0.000)
C (0.000, 0.500, 0.500)
C (0.500, 0.000, 0.500)
C (0.500, 0.500, 0.000)

Output
energy relative to the lowest polymorph listed for this composition: 2391 meV per atom
energy relative to the elements: 5.3 eV/f.u.

***

(2)
First-principles (PBE-GGA) data for crystalline K2C at its relaxed geometry, as listed in Alexandria.

a b c (Å): 7.913 7.913 7.913
angles (deg): 31.70 31.70 31.70
Positions (direct):
K (0.000, 0.000, 0.000)
K (0.146, 0.146, 0.146)
C (0.406, 0.406, 0.406)

Output
energy relative to the lowest polymorph listed for this composition: 110 meV per atom
energy relative to the elements: 4.4 eV/f.u.

***

(3)
First-principles (PBE-GGA) data for crystalline KC at its relaxed geometry, as listed in Alexandria.

a b c (Å): 7.256 7.256 4.387
angles (deg): 90.00 90.00 146.63
Positions (direct):
K (0.141, 0.859, 0.750)
K (0.859, 0.141, 0.250)
C (0.361, 0.639, 0.750)
C (0.639, 0.361, 0.250)

Output
energy relative to the lowest polymorph listed for this composition: 2123 meV per atom
energy relative to the elements: 4.7 eV/f.u.

***

(4)
First-principles (PBE-GGA) data for crystalline K2C at its relaxed geometry, as listed in Alexandria.

a b c (Å): 5.109 5.109 5.109
angles (deg): 59.84 59.84 59.84
Positions (direct):
K (0.250, 0.250, 0.250)
K (0.750, 0.750, 0.750)
C (0.000, 0.000, 0.000)

Output
energy relative to the lowest polymorph listed for this composition: 0 meV per atom
energy relative to the elements: 4.1 eV/f.u.

***

(5)
First-principles (PBE-GGA) data for crystalline K2C at its relaxed geometry, as listed in Alexandria.

a b c (Å): 4.484 4.484 14.742
angles (deg): 90.00 90.00 120.00
Positions (direct):
K (0.333, 0.667, 0.098)
K (0.333, 0.667, 0.402)
K (0.667, 0.333, 0.598)
K (0.667, 0.333, 0.902)
C (0.000, 0.000, 0.000)
C (0.000, 0.000, 0.500)

Output
energy relative to the lowest polymorph listed for this composition: 47 meV per atom
energy relative to the elements: 4.2 eV/f.u.

***

(6)
First-principles (PBE-GGA) data for crystalline KC at its relaxed geometry, as listed in Alexandria.

a b c (Å): 3.730 3.730 3.730
angles (deg): 90.00 90.00 90.00
Positions (direct):
K (0.000, 0.000, 0.000)
C (0.500, 0.500, 0.500)

Output
energy relative to the lowest polymorph listed for this composition: 2167 meV per atom
energy relative to the elements: 4.8 eV/f.u.

***

(7)
First-principles (PBE-GGA) data for crystalline K4C at its relaxed geometry, as listed in Alexandria.

a b c (Å): 4.518 4.518 15.688
angles (deg): 90.00 90.00 120.00
Positions (direct):
K (0.333, 0.667, 0.092)
K (0.333, 0.667, 0.376)
K (0.667, 0.333, 0.624)
K (0.667, 0.333, 0.908)
C (0.000, 0.000, 0.000)

Output
energy relative to the lowest polymorph listed for this composition: 4 meV per atom
energy relative to the elements: 4.3 eV/f.u.

***

(8)
First-principles (PBE-GGA) data for crystalline K7C at its relaxed geometry, as listed in Alexandria.

a b c (Å): 8.887 8.887 8.887
angles (deg): 60.00 60.00 60.00
Positions (direct):
K (0.000, 0.000, 0.000)
K (0.000, 0.000, 0.500)
K (0.000, 0.500, 0.000)
K (0.000, 0.500, 0.500)
K (0.500, 0.000, 0.000)
K (0.500, 0.000, 0.500)
K (0.500, 0.500, 0.000)
C (0.500, 0.500, 0.500)

Output
energy relative to the elements: 6.0 eV/f.u.

***

(9)
First-principles (PBE-GGA) data for crystalline K4C5 at its relaxed geometry, as listed in Alexandria.

a b c (Å): 8.700 8.700 8.700
angles (deg): 92.33 92.33 156.72
Positions (direct):
K (0.000, 0.239, 0.239)
K (0.000, 0.761, 0.761)
K (0.239, 0.000, 0.239)
K (0.761, 0.000, 0.761)
C (0.000, 0.000, 0.000)
C (0.437, 0.437, 0.873)
C (0.437, 0.563, 0.000)
C (0.563, 0.437, 0.000)
C (0.563, 0.563, 0.127)

Output
energy relative to the lowest polymorph listed for this composition: 0 meV per atom
energy relative to the elements: 11.5 eV/f.u.

***

(10)
First-principles (PBE-GGA) data for crystalline KC8 at its relaxed geometry, as listed in Alexandria.

a b c (Å): 7.127 7.127 7.127
angles (deg): 91.91 91.91 158.96
Positions (direct):
K (0.000, 0.000, 0.000)
C (0.000, 0.416, 0.416)
C (0.000, 0.584, 0.584)
C (0.251, 0.251, 0.502)
C (0.251, 0.749, 0.000)
C (0.416, 0.000, 0.416)
C (0.584, 0.000, 0.584)
C (0.749, 0.251, 0.000)
C (0.749, 0.749, 0.498)

Output
energy relative to the lowest polymorph listed for this composition: 2062 meV per atom
energy relative to the elements: 18.2 eV/f.u.

***

(11)
First-principles (PBE-GGA) data for crystalline KC at its relaxed geometry, as listed in Alexandria.

a b c (Å): 4.355 4.355 3.354
angles (deg): 90.00 90.00 120.00
Positions (direct):
K (0.000, 0.000, 0.000)
C (0.333, 0.667, 0.500)

Output
energy relative to the lowest polymorph listed for this composition: 2192 meV per atom
energy relative to the elements: 4.9 eV/f.u.

***

(12)
First-principles (PBE-GGA) data for crystalline K2C at its relaxed geometry, as listed in Alexandria.

a b c (Å): 5.017 5.017 7.495
angles (deg): 90.00 90.00 90.00
Positions (direct):
K (0.250, 0.250, 0.106)
K (0.250, 0.750, 0.500)
K (0.750, 0.250, 0.500)
K (0.750, 0.750, 0.894)
C (0.250, 0.250, 0.724)
C (0.750, 0.750, 0.276)

Output
energy relative to the lowest polymorph listed for this composition: 57 meV per atom
energy relative to the elements: 4.3 eV/f.u.

***

(13)
First-principles (PBE-GGA) data for crystalline K2C3 at its relaxed geometry, as listed in Alexandria.

a b c (Å): 8.364 8.364 8.364
angles (deg): 32.63 32.63 32.63
Positions (direct):
K (0.094, 0.094, 0.094)
K (0.906, 0.906, 0.906)
C (0.286, 0.286, 0.286)
C (0.500, 0.500, 0.500)
C (0.714, 0.714, 0.714)

Output
energy relative to the lowest polymorph listed for this composition: 2545 meV per atom
energy relative to the elements: 16.6 eV/f.u.

***

(14)
First-principles (PBE-GGA) data for crystalline K2C at its relaxed geometry, as listed in Alexandria.

a b c (Å): 6.978 6.978 4.577
angles (deg): 90.00 90.00 90.00
Positions (direct):
K (0.195, 0.195, 0.000)
K (0.305, 0.695, 0.500)
K (0.695, 0.305, 0.500)
K (0.805, 0.805, 0.000)
C (0.000, 0.000, 0.500)
C (0.500, 0.500, 0.000)

Output
energy relative to the lowest polymorph listed for this composition: 10 meV per atom
energy relative to the elements: 4.1 eV/f.u.

***

(15)
First-principles (PBE-GGA) data for crystalline KC at its relaxed geometry, as listed in Alexandria.

a b c (Å): 8.349 8.349 2.714
angles (deg): 90.00 90.00 152.24
Positions (direct):
K (0.122, 0.878, 0.750)
K (0.878, 0.122, 0.250)
C (0.489, 0.511, 0.750)
C (0.511, 0.489, 0.250)

Output
energy relative to the lowest polymorph listed for this composition: 336 meV per atom
energy relative to the elements: 1.2 eV/f.u.

***

(16)
First-principles (PBE-GGA) data for crystalline KC at its relaxed geometry, as listed in Alexandria.

a b c (Å): 5.458 5.458 7.328
angles (deg): 90.00 90.00 120.00
Positions (direct):
K (0.000, 0.000, 0.250)
K (0.000, 0.000, 0.750)
K (0.333, 0.667, 0.250)
K (0.667, 0.333, 0.750)
C (0.333, 0.667, 0.663)
C (0.333, 0.667, 0.837)
C (0.667, 0.333, 0.163)
C (0.667, 0.333, 0.337)

Output
energy relative to the lowest polymorph listed for this composition: 222 meV per atom
energy relative to the elements: 0.9 eV/f.u.

***

(17)
First-principles (PBE-GGA) data for crystalline K2C at its relaxed geometry, as listed in Alexandria.

a b c (Å): 5.052 5.052 7.933
angles (deg): 90.00 90.00 120.00
Positions (direct):
K (0.000, 0.000, 0.000)
K (0.000, 0.000, 0.500)
K (0.333, 0.667, 0.250)
K (0.667, 0.333, 0.750)
C (0.333, 0.667, 0.750)
C (0.667, 0.333, 0.250)

Output
energy relative to the lowest polymorph listed for this composition: 104 meV per atom
energy relative to the elements: 4.4 eV/f.u.

***

(18)
First-principles (PBE-GGA) data for crystalline KC at its relaxed geometry, as listed in Alexandria.

a b c (Å): 10.868 10.868 2.729
angles (deg): 90.00 90.00 120.00
Positions (direct):
K (0.212, 0.425, 0.250)
K (0.212, 0.788, 0.250)
K (0.425, 0.212, 0.750)
K (0.575, 0.788, 0.250)
K (0.788, 0.212, 0.750)
K (0.788, 0.575, 0.750)
C (0.018, 0.509, 0.750)
C (0.491, 0.509, 0.750)
C (0.491, 0.982, 0.750)
C (0.509, 0.018, 0.250)
C (0.509, 0.491, 0.250)
C (0.982, 0.491, 0.250)

Output
energy relative to the lowest polymorph listed for this composition: 414 meV per atom
energy relative to the elements: 1.3 eV/f.u.

***

(19)
First-principles (PBE-GGA) data for crystalline KC at its relaxed geometry, as listed in Alexandria.

a b c (Å): 4.369 4.369 4.369
angles (deg): 60.00 60.00 60.00
Positions (direct):
K (0.000, 0.000, 0.000)
C (0.500, 0.500, 0.500)

Output
energy relative to the lowest polymorph listed for this composition: 2064 meV per atom
energy relative to the elements: 4.6 eV/f.u.

***

(20)
First-principles (PBE-GGA) data for crystalline K4C at its relaxed geometry, as listed in Alexandria.

a b c (Å): 6.587 6.587 6.587
angles (deg): 109.47 109.47 109.47
Positions (direct):
K (0.000, 0.000, 0.500)
K (0.000, 0.500, 0.000)
K (0.500, 0.000, 0.000)
K (0.500, 0.500, 0.500)
C (0.000, 0.000, 0.000)

Output
energy relative to the lowest polymorph listed for this composition: 90 meV per atom
energy relative to the elements: 4.8 eV/f.u.

***

(21)
First-principles (PBE-GGA) data for crystalline K2C at its relaxed geometry, as listed in Alexandria.

a b c (Å): 4.302 4.302 7.775
angles (deg): 90.00 90.00 120.00
Positions (direct):
K (0.000, 0.000, 0.212)
K (0.000, 0.000, 0.788)
C (0.333, 0.667, 0.000)

Output
energy relative to the lowest polymorph listed for this composition: 117 meV per atom
energy relative to the elements: 4.5 eV/f.u.

***

(22)
First-principles (PBE-GGA) data for crystalline KC at its relaxed geometry, as listed in Alexandria.

a b c (Å): 8.904 8.774 6.326
angles (deg): 70.14 67.93 41.93
Positions (direct):
K (0.067, 0.067, 0.683)
K (0.317, 0.317, 0.933)
K (0.683, 0.683, 0.067)
K (0.933, 0.933, 0.317)
C (0.056, 0.194, 0.056)
C (0.194, 0.056, 0.194)
C (0.806, 0.944, 0.806)
C (0.944, 0.806, 0.944)

Output
energy relative to the lowest polymorph listed for this composition: 92 meV per atom
energy relative to the elements: 0.7 eV/f.u.

***

(23)
First-principles (PBE-GGA) data for crystalline KC at its relaxed geometry, as listed in Alexandria.

a b c (Å): 7.511 7.511 4.095
angles (deg): 90.00 90.00 120.00
Positions (direct):
K (0.000, 0.500, 0.000)
K (0.500, 0.000, 0.000)
K (0.500, 0.500, 0.000)
C (0.000, 0.000, 0.000)
C (0.333, 0.667, 0.500)
C (0.667, 0.333, 0.500)

Output
energy relative to the lowest polymorph listed for this composition: 2229 meV per atom
energy relative to the elements: 4.9 eV/f.u.

***

(24)
First-principles (PBE-GGA) data for crystalline KC at its relaxed geometry, as listed in Alexandria.

a b c (Å): 4.678 4.678 4.678
angles (deg): 60.00 60.00 60.00
Positions (direct):
K (0.125, 0.125, 0.125)
K (0.875, 0.875, 0.875)
C (0.375, 0.375, 0.375)
C (0.625, 0.625, 0.625)

Output
energy relative to the lowest polymorph listed for this composition: 2159 meV per atom
energy relative to the elements: 4.8 eV/f.u.

***

(25)
First-principles (PBE-GGA) data for crystalline KC at its relaxed geometry, as listed in Alexandria.

a b c (Å): 5.791 5.791 7.681
angles (deg): 118.82 118.82 43.61
Positions (direct):
K (0.000, 0.000, 0.000)
K (0.646, 0.646, 0.675)
K (0.844, 0.844, 0.349)
C (0.213, 0.213, 0.477)
C (0.290, 0.290, 0.035)
C (0.345, 0.345, 0.621)

Output
energy relative to the lowest polymorph listed for this composition: 746 meV per atom
energy relative to the elements: 2.0 eV/f.u.

***

(26)
First-principles (PBE-GGA) data for crystalline KC5 at its relaxed geometry, as listed in Alexandria.

a b c (Å): 2.565 2.565 9.133
angles (deg): 90.00 90.00 90.00
Positions (direct):
K (0.000, 0.000, 0.000)
C (0.000, 0.000, 0.301)
C (0.000, 0.000, 0.699)
C (0.500, 0.500, 0.352)
C (0.500, 0.500, 0.500)
C (0.500, 0.500, 0.648)

Output
energy relative to the lowest polymorph listed for this composition: 1532 meV per atom
energy relative to the elements: 14.8 eV/f.u.

***

(27)
First-principles (PBE-GGA) data for crystalline K2C at its relaxed geometry, as listed in Alexandria.

a b c (Å): 7.850 7.850 7.850
angles (deg): 151.78 151.78 40.34
Positions (direct):
K (0.107, 0.107, 0.000)
K (0.893, 0.893, 0.000)
C (0.500, 0.500, 0.000)

Output
energy relative to the lowest polymorph listed for this composition: 123 meV per atom
energy relative to the elements: 4.5 eV/f.u.